No. 1
Computed, not measured: a relaxed Y2BeSi2Rh5 crystal at the PBE level of DFT.

Cell: 3.3564 9.7093 9.7093 Å, 90.00 90.00 90.00°
Fractional coordinates of all 20 atoms:
Y 0.0000 0.1734 0.3266
Y 0.0000 0.8266 0.6734
Y 0.0000 0.3266 0.8266
Y 0.0000 0.6734 0.1734
Rh 0.5000 0.7954 0.9340
Rh 0.5000 0.9340 0.2046
Rh 0.5000 0.0660 0.7954
Rh 0.5000 0.5660 0.7046
Rh 0.5000 0.7046 0.4340
Rh 0.5000 0.0000 0.5000
Rh 0.5000 0.2046 0.0660
Rh 0.5000 0.4340 0.2954
Rh 0.5000 0.2954 0.5660
Rh 0.5000 0.5000 0.0000
Si 0.0000 0.8723 0.3723
Si 0.0000 0.6277 0.8723
Si 0.0000 0.3723 0.1277
Si 0.0000 0.1277 0.6277
Be 0.0000 0.5000 0.5000
Be 0.0000 0.0000 0.0000

Raw formation energy (meV per atom): -836
E_tot (eV for the cell shown): -145.23


No. 2
Computed, not measured: a relaxed Li6Be crystal at the PBE level of DFT.

Cell: 5.4259 5.4259 5.4259 Å, 109.47 109.47 109.47°
Fractional coordinates of all 7 atoms:
Li 0.7500 0.2500 0.5000
Li 0.5000 0.2500 0.7500
Li 0.2500 0.5000 0.7500
Li 0.5000 0.7500 0.2500
Li 0.2500 0.7500 0.5000
Li 0.7500 0.5000 0.2500
Be 0.0000 0.0000 0.0000

Energy relative to the elements (eV/atom): 0.8107
E_tot (eV for the cell shown): -9.53


No. 3
Computed, not measured: a relaxed TiHgBi crystal at the PBE level of DFT.

Cell: 5.9491 6.9371 7.7434 Å, 90.00 90.00 115.39°
Fractional coordinates of all 12 atoms:
Ti 0.3994 0.7989 0.4125
Ti 0.1006 0.2011 0.9125
Ti 0.8994 0.7989 0.0875
Ti 0.6006 0.2011 0.5875
Bi 0.6914 0.3828 0.9235
Bi 0.8086 0.6172 0.4235
Bi 0.3086 0.6172 0.0765
Bi 0.1914 0.3828 0.5765
Hg 0.3192 0.1385 0.2500
Hg 0.6808 0.8615 0.7500
Hg 0.1808 0.8615 0.7500
Hg 0.8192 0.1385 0.2500

Energy relative to the elements (eV/atom): 0.0419
E_tot (eV for the cell shown): -47.81


Question: What is the formula in the third record?
Answer: TiHgBi


Question: E_tot of number 1 (Y2BeSi2Rh5)?
Answer: -145.23 eV for the cell shown